This record from the Alexandria database describes a relaxed structure of CaTb2Co. The functional is PBE-GGA.

a = 3.807 Å, b = 3.807 Å, c = 10.645 Å
α = 79.70°, β = 79.70°, γ = 60.00°
Fractional coordinates of all 4 atoms:
1 Tb 0.881 0.881 0.358
2 Ca 0.000 0.000 0.000
3 Co 0.500 0.500 0.500
4 Tb 0.119 0.119 0.642

## Properties
Energy above the most stable polymorph in this dataset, eV/atom: 0.1695
Energy of formation from the pure elements, eV per atom: 0.07

---

This record from the Alexandria database describes a relaxed structure of CaTbCo4. The functional is PBE-GGA.

a = 5.096 Å, b = 5.096 Å, c = 5.096 Å
α = 60.00°, β = 60.00°, γ = 60.00°
Fractional coordinates of all 6 atoms:
1 Tb 0.250 0.250 0.250
2 Co 0.625 0.625 0.126
3 Co 0.625 0.126 0.625
4 Co 0.625 0.625 0.625
5 Co 0.126 0.625 0.625
6 Ca 0.000 0.000 0.000

## Properties
Energy of formation from the pure elements, eV per atom: -0.04

---

This record from the Alexandria database describes a relaxed structure of CaTb2Co. The functional is PBE-GGA.

a = 3.904 Å, b = 3.904 Å, c = 9.511 Å
α = 78.16°, β = 78.16°, γ = 60.00°
Fractional coordinates of all 4 atoms:
1 Ca 0.501 0.501 0.496
2 Tb 0.281 0.281 0.156
3 Tb 0.051 0.051 0.847
4 Co 0.666 0.666 0.001

## Properties
Energy above the most stable polymorph in this dataset, eV/atom: 0.0552
Energy of formation from the pure elements, eV per atom: -0.05

---

This record from the Alexandria database describes a relaxed structure of CaTbZnCo. The functional is PBE-GGA.

a = 4.930 Å, b = 4.930 Å, c = 4.930 Å
α = 60.00°, β = 60.00°, γ = 60.00°
Fractional coordinates of all 4 atoms:
1 Tb 0.250 0.250 0.250
2 Zn 0.000 0.000 0.000
3 Ca 0.750 0.750 0.750
4 Co 0.500 0.500 0.500

## Properties
Energy of formation from the pure elements, eV per atom: -0.02

---

no.,total magnetic moment (μB/f.u.)
1,0.0
2,4.7
3,0.0
4,0.5